No. 1
VASP calculation (GGA-PBE) on Rb4La3PbO8 after structural relaxation.

```
Rb4La3PbO8
1.0
-4.1374 -6.0816 1.2080
6.3672 -3.7919 2.7176
-1.8680 6.4727 3.1902
O Rb La Pb
8 4 3 1
direct
0.7692 0.3126 0.5384
0.7260 0.6780 0.4519
0.7257 0.6874 0.9565
0.2743 0.3126 0.0435
0.2308 0.6874 0.9565
0.2740 0.3220 0.5481
0.7692 0.3126 0.0435
0.2308 0.6874 0.4616
0.0000 0.0000 0.5000
0.5000 0.0000 0.5000
0.0000 0.0000 0.0000
0.5000 0.0000 0.0000
0.0000 0.5000 0.5000
0.5000 0.5000 0.0000
0.5000 0.5000 0.5000
0.0000 0.5000 0.0000
```

Values from the calculation:
**Space group**: No. 166

=====

No. 2
VASP calculation (GGA-PBE) on LaRePbO6 after structural relaxation.

```
LaRePbO6
1.0
-0.8192 -5.3280 -2.0001
2.6550 -4.4475 2.4958
-3.8338 -0.5642 3.0730
La O Re Pb
1 6 1 1
direct
0.0000 0.0000 0.0000
0.6161 0.0686 0.2795
0.0686 0.6161 0.7204
0.6161 0.3153 0.7204
0.0686 0.3153 0.2795
0.3153 0.0686 0.7204
0.3153 0.6161 0.2795
0.3333 0.3333 0.5000
0.6666 0.6667 0.5000
```

Values from the calculation:
**Space group**: No. 149

=====

No. 3
VASP calculation (GGA-PBE) on La3RhPbO after structural relaxation.

```
La3RhPbO
1.0
4.1341 0.0000 0.0000
0.0000 9.3977 0.5187
0.0000 -3.0615 9.1578
Pb Rh La O
2 2 6 2
direct
0.7500 0.8126 0.7667
0.2500 0.1874 0.2333
0.7500 0.3421 0.8511
0.2500 0.6579 0.1489
0.2500 0.1262 0.8530
0.7500 0.4428 0.1563
0.2500 0.5572 0.8437
0.7500 0.8738 0.1470
0.7500 0.1698 0.5292
0.2500 0.8302 0.4708
0.7500 0.9175 0.4038
0.2500 0.0825 0.5962
```

Values from the calculation:
**Space group**: No. 11

=====

No. 4
VASP calculation (GGA-PBE) on LaRhPb2O after structural relaxation.

```
LaRhPb2O
1.0
-1.5725 5.0247 -0.9130
-1.5759 0.1818 3.7150
4.6622 1.8024 1.8894
Pb Rh La O
2 1 1 1
direct
0.0000 0.0000 0.5000
0.5000 0.0000 0.0000
0.0000 0.5000 0.0000
0.5000 0.5000 0.5000
0.0000 0.0000 0.0000
```

Values from the calculation:
**Space group**: No. 123

=====

No. 5
VASP calculation (GGA-PBE) on LaRuPb2O6 after structural relaxation.

```
LaRuPb2O6
1.0
5.9995 0.0000 -0.0251
0.0000 5.9875 0.0000
0.0159 0.0000 8.4569
O Pb La Ru
12 4 2 2
direct
0.2337 0.1843 0.4470
0.4047 0.9789 0.7248
0.8293 0.7793 0.9552
0.6707 0.2793 0.5448
0.0953 0.4789 0.7752
0.9047 0.5211 0.2248
0.2663 0.6843 0.0530
0.3293 0.7207 0.4552
0.7337 0.3157 0.9470
0.5953 0.0211 0.2752
0.7663 0.8157 0.5530
0.1707 0.2207 0.0448
0.9920 0.0351 0.7567
0.0080 0.9649 0.2433
0.5080 0.5351 0.7433
0.4920 0.4649 0.2567
0.5000 0.0000 0.0000
0.0000 0.5000 0.5000
0.0000 0.5000 0.0000
0.5000 0.0000 0.5000
```

Values from the calculation:
**Space group**: No. 14

=====

No. 6
VASP calculation (GGA-PBE) on La2RuPbO8 after structural relaxation.

```
La2RuPbO8
1.0
-4.6229 0.2448 1.7525
1.4218 -3.2728 3.7038
1.7546 5.4298 4.1735
O La Ru Pb
8 2 1 1
direct
0.6916 0.6973 0.5370
0.1359 0.7785 0.2131
0.2697 0.2422 0.0431
0.2082 0.8582 0.7810
0.8641 0.2215 0.7869
0.7918 0.1418 0.2190
0.7303 0.7578 0.9569
0.3084 0.3027 0.4630
0.5662 0.5495 0.2472
0.4338 0.4505 0.7528
0.0000 0.0000 0.0000
0.0000 0.0000 0.5000
```

Values from the calculation:
**Space group**: No. 2

=====

No. 7
VASP calculation (GGA-PBE) on La2ScPbO after structural relaxation.

```
La2ScPbO
1.0
-4.9197 1.5136 -0.9139
-1.3630 -4.9678 -0.8902
-0.9521 -0.5068 4.2858
Pb Sc La O
1 1 2 1
direct
0.5000 0.5000 0.5000
0.0000 0.0000 0.5000
0.0000 0.5000 0.0000
0.5000 0.0000 0.0000
0.0000 0.0000 0.0000
```

Values from the calculation:
**Space group**: No. 123

=====

No. 8
VASP calculation (GGA-PBE) on La2SiPbO6 after structural relaxation.

```
La2SiPbO6
1.0
-2.3102 1.9385 -4.2376
-4.8224 -2.0859 1.6748
-1.0753 4.6729 2.7238
O Pb Si La
6 1 1 2
direct
0.2967 0.0000 0.0000
0.7314 0.7852 0.2148
0.7314 0.2148 0.7852
0.7314 0.7852 0.7852
0.0713 0.5000 0.5000
0.7314 0.2148 0.2148
0.5439 0.5000 0.5000
0.6175 0.0000 0.0000
0.9960 0.0000 0.5000
0.9960 0.5000 0.0000
```

Values from the calculation:
**Space group**: No. 99

=====

No. 9
VASP calculation (GGA-PBE) on La4Sm2Pb3O2 after structural relaxation.

```
La4Sm2Pb3O2
1.0
-2.0540 -4.1787 1.5148
-0.5431 -1.4202 -4.6543
13.2621 -2.9511 1.9286
Pb La Sm O
3 4 2 2
direct
0.0000 0.0000 0.0000
0.8188 0.8188 0.6377
0.1812 0.1812 0.3623
0.4154 0.9154 0.8307
0.5846 0.0846 0.1693
0.0846 0.5846 0.1693
0.9154 0.4154 0.8307
0.3043 0.3043 0.6086
0.6957 0.6957 0.3914
0.6063 0.6063 0.2126
0.3937 0.3937 0.7874
```

Values from the calculation:
**Space group**: No. 139

=====

No. 10
VASP calculation (GGA-PBE) on SrLa2PbO after structural relaxation.

```
SrLa2PbO
1.0
5.0798 0.0000 0.0000
0.0000 5.0798 0.0000
0.0000 0.0000 5.2208
La Pb O Sr
2 1 1 1
direct
0.5000 0.0000 0.0000
0.0000 0.5000 0.0000
0.5000 0.5000 0.5000
0.0000 0.0000 0.0000
0.0000 0.0000 0.5000
```

Values from the calculation:
**Space group**: No. 123

=====

No. 11
VASP calculation (GGA-PBE) on Sr2LaPbO after structural relaxation.

```
Sr2LaPbO
1.0
5.1887 0.0000 0.0000
0.0000 5.1887 0.0000
0.0000 0.0000 5.1058
Pb O La Sr
1 1 1 2
direct
0.5000 0.5000 0.5000
0.0000 0.0000 0.0000
0.0000 0.0000 0.5000
0.5000 0.0000 0.0000
0.0000 0.5000 0.0000
```

Values from the calculation:
**Space group**: No. 123

=====

No. 12
VASP calculation (GGA-PBE) on LaTbPbO2 after structural relaxation.

```
LaTbPbO2
1.0
-0.4970 2.8418 -2.7038
1.4995 -2.3808 -2.7779
-7.1718 -2.7603 1.3081
Tb La O Pb
1 1 2 1
direct
0.1711 0.1711 0.3422
0.8335 0.8335 0.6670
0.7456 0.2456 0.4913
0.2456 0.7456 0.4913
0.5041 0.5041 0.0083
```

Values from the calculation:
**Space group**: No. 107

=====

Number 1: ΔE_f (raw) -2.222 eV per atom, total DFT energy (no corrections) -6.0989 eV/atom. Number 2: ΔE_f (raw) -1.993 eV per atom, total DFT energy (no corrections) -7.6413 eV/atom. Number 3: ΔE_f (raw) -1.387 eV per atom, total DFT energy (no corrections) -6.5204 eV/atom. Number 4: ΔE_f (raw) -0.390 eV per atom, total DFT energy (no corrections) -5.3204 eV/atom. Number 5: ΔE_f (raw) -1.596 eV per atom, total DFT energy (no corrections) -6.7325 eV/atom. Number 6: ΔE_f (raw) -1.850 eV per atom, total DFT energy (no corrections) -7.0591 eV/atom. Number 7: ΔE_f (raw) -1.418 eV per atom, total DFT energy (no corrections) -6.3886 eV/atom. Number 8: ΔE_f (raw) -2.589 eV per atom, total DFT energy (no corrections) -7.4624 eV/atom. Number 9: ΔE_f (raw) -1.382 eV per atom, total DFT energy (no corrections) -5.9444 eV/atom. Number 10: ΔE_f (raw) -1.399 eV per atom, total DFT energy (no corrections) -5.4395 eV/atom. Number 11: ΔE_f (raw) -1.386 eV per atom, total DFT energy (no corrections) -4.7772 eV/atom. Number 12: ΔE_f (raw) -2.537 eV per atom, total DFT energy (no corrections) -7.1739 eV/atom.